Record 1
Here is a geometry-optimized PuHgPbO6 structure from the Alexandria database. Energies are from PBE-GGA.

Computed properties:
* formation energy without anion corrections: -1320.5 meV/atom
* N(E_F): 6.08 states/eV per cell
* calculated volume: 278.6 Å³ per cell

Cell: 5.7832 5.7832 9.6183 Å, 90.00 90.00 120.00°
Last column: nearest neighbours and their distance in Å.
Space group P-31c (No. 163)
Symmetry-distinct sites (fractional):
Pu (0.3333, 0.6667, 0.2500) x2  6 O 2.04
Hg (0.0000, 0.0000, 0.0000) x2  6 O 2.41
Pb (0.3333, 0.6667, 0.7500) x2  6 O 2.35
O (0.0399, 0.3730, 0.1322) x12  1 Pu 2.04

=====

Record 2
Here is a geometry-optimized Pu2HgPbO8 structure from the Alexandria database. Energies are from PBE-GGA.

Computed properties:
* formation energy without anion corrections: -1500.2 meV/atom
* N(E_F): 3.82 states/eV per cell
* calculated volume: 191.9 Å³ per cell

Cell: 6.0629 6.0629 6.0290 Å, 90.00 90.00 120.00°
Last column: nearest neighbours and their distance in Å.
Space group P-3 (No. 147)
Symmetry-distinct sites (fractional):
Pu (0.3333, 0.6667, 0.4319) x2  1 O 1.87
Hg (0.0000, 0.0000, 0.5000) x1  6 O 2.35
Pb (0.0000, 0.0000, 0.0000) x1  6 O 2.98, 2 Hg 3.01
O (0.0601, 0.3809, 0.6577) x6  2 Pu 2.17-2.32, 1 Hg 2.35
O (0.3333, 0.6667, 0.1217) x2  1 Pu 1.87

=====

Record 3
Here is a geometry-optimized PuHg2PbO6 structure from the Alexandria database. Energies are from PBE-GGA.

Computed properties:
* formation energy without anion corrections: -1301.0 meV/atom
* N(E_F): 17.83 states/eV per cell
* calculated volume: 479.3 Å³ per cell

Cell: 5.9994 5.9994 15.3749 Å, 90.00 90.00 120.00°
Last column: nearest neighbours and their distance in Å.
Space group R-3 (No. 148, hexagonal axes)
Symmetry-distinct sites (fractional):
Pu (0.0000, 0.0000, 0.0000) x3  6 O 2.09
Hg (0.0000, 0.0000, 0.2406) x6  3 O 2.24
Pb (0.0000, 0.0000, 0.5000) x3  6 O 2.50
O (0.0146, 0.2904, 0.0795) x18  1 Pu 2.09, 1 Hg 2.24

=====

Record 4
Here is a geometry-optimized Rb2HgPbO4 structure from the Alexandria database. Energies are from PBE-GGA.

Computed properties:
* formation energy without anion corrections: -970.5 meV/atom
* calculated volume: 336.0 Å³ per cell

Cell: 8.5602 8.1971 6.3039 Å, 90.00 130.57 90.00°
Last column: nearest neighbours and their distance in Å.
Space group C2 (No. 5)
Symmetry-distinct sites (fractional):
Rb (0.0000, 0.0000, 0.0000) x2  6 O 2.95-3.10
Rb (0.0000, 0.2363, 0.5000) x2  4 O 2.82-2.92
Hg (0.0000, 0.7252, 0.5000) x2  2 O 2.10
Pb (0.0000, 0.5261, 0.0000) x2  4 O 2.06-2.19
O (0.1583, 0.6958, 0.9279) x4  1 Hg 2.10, 1 Pb 2.19
O (0.2261, 0.4348, 0.3945) x4  1 Pb 2.06

=====

Record 5
Here is a geometry-optimized Re2HgPbO8 structure from the Alexandria database. Energies are from PBE-GGA.

Computed properties:
* formation energy without anion corrections: -1414.5 meV/atom
* N(E_F): 0.00 states/eV per cell
* calculated volume: 595.4 Å³ per cell

Cell: 11.4552 6.6042 8.3260 Å, 90.00 109.05 90.00°
Last column: nearest neighbours and their distance in Å.
Space group C2/m (No. 12)
Symmetry-distinct sites (fractional):
Re (0.1973, 0.0000, 0.1180) x4  4 O 1.73-1.77
Hg (0.0000, 0.0000, 0.5000) x2  2 O 3.20
Pb (0.0000, 0.5000, 0.0000) x2  6 O 2.57-2.58
O (0.1374, 0.2207, 0.1822) x8  1 Re 1.77
O (0.1395, 0.5000, 0.8109) x4  1 Re 1.77
O (0.1490, 0.0000, 0.8981) x4  1 Re 1.73

=====

Record 6
Here is a geometry-optimized Hg2RuPb2O6 structure from the Alexandria database. Energies are from PBE-GGA.

Computed properties:
* formation energy without anion corrections: -715.2 meV/atom
* N(E_F): 6.77 states/eV per cell
* calculated volume: 404.5 Å³ per cell

Cell: 5.9350 10.9977 6.2100 Å, 90.00 93.68 90.00°
Last column: nearest neighbours and their distance in Å.
Space group C2/m (No. 12)
Symmetry-distinct sites (fractional):
Hg (0.0000, 0.1389, 0.0000) x4  2 O 2.16
Ru (0.0000, 0.0000, 0.5000) x2  6 O 1.98-2.02
Pb (0.0000, 0.3434, 0.5000) x4  4 O 2.38-2.53
O (0.1363, 0.1308, 0.6854) x8  1 Ru 1.98, 1 Hg 2.16
O (0.2226, 0.5000, 0.6714) x4  1 Ru 2.02

=====

Record 7
Here is a geometry-optimized HgPb2SO6 structure from the Alexandria database. Energies are from PBE-GGA.

Computed properties:
* formation energy without anion corrections: -1170.6 meV/atom
* N(E_F): 0.00 states/eV per cell
* calculated volume: 362.2 Å³ per cell

Cell: 12.0835 4.5498 6.9334 Å, 90.00 108.15 90.00°
Last column: nearest neighbours and their distance in Å.
Space group C2 (No. 5)
Symmetry-distinct sites (fractional):
Hg (0.0000, 0.0000, 0.0000) x2  2 O 2.04
Pb (0.2351, 0.0581, 0.7700) x4  3 O 2.32-2.46
S (0.0000, 0.5329, 0.5000) x2  4 O 1.49-1.51
O (0.0534, 0.3443, 0.6841) x4  1 S 1.51
O (0.0924, 0.7155, 0.4593) x4  1 S 1.49
O (0.1761, 0.0004, 0.0561) x4  1 Hg 2.04

=====

Record 8
Here is a geometry-optimized HgPbS2O6 structure from the Alexandria database. Energies are from PBE-GGA.

Computed properties:
* formation energy without anion corrections: -1097.1 meV/atom
* N(E_F): 0.00 states/eV per cell
* calculated volume: 656.6 Å³ per cell

Cell: 11.0084 10.5059 7.8680 Å, 90.00 133.82 90.00°
Last column: nearest neighbours and their distance in Å.
Space group C2/c (No. 15)
Symmetry-distinct sites (fractional):
Hg (0.0000, 0.1267, 0.2500) x4  2 S 2.47, 2 O 2.68
Pb (0.0000, 0.4148, 0.7500) x4  2 O 2.49
S (0.2107, 0.1498, 0.6834) x8  3 O 1.48-1.52
O (0.1203, 0.3965, 0.2195) x8  1 S 1.52
O (0.1714, 0.0759, 0.8021) x8  1 S 1.49
O (0.2247, 0.2876, 0.7362) x8  1 S 1.48